1.
A plane-wave DFT calculation with PBE was carried out for a relaxed CsTl6Au crystal.

Results
- Energy: -2.34 eV per atom
- ΔE_f: -0.05 eV per atom
- Calculated density: 9.384 g/cm3
- Symmetry: No. 123

a = 5.2829 Å, b = 5.2829 Å, c = 9.8666 Å
α = 90.00°, β = 90.00°, γ = 90.00°
Closest atoms and distances in Å follow each position.
Positions (direct):
1 Cs 0.0000 0.0000 0.0000  16 Tl 4.04-4.26
2 Tl 0.5000 0.0000 0.6617  2 Au 3.09, 3 Tl 3.19
3 Tl 0.0000 0.5000 0.6617  2 Au 3.09, 3 Tl 3.19
4 Tl 0.5000 0.5000 0.8431  5 Tl 3.10-3.19
5 Au 0.0000 0.0000 0.5000  8 Tl 3.09
6 Tl 0.0000 0.5000 0.3383  2 Au 3.09, 3 Tl 3.19
7 Tl 0.5000 0.5000 0.1569  5 Tl 3.10-3.19
8 Tl 0.5000 0.0000 0.3383  2 Au 3.09, 3 Tl 3.19

***

2.
A plane-wave DFT calculation with PBE was carried out for a relaxed CsTl4Au4 crystal.

Results
- Energy: -2.73 eV per atom
- ΔE_f: -0.12 eV per atom
- Calculated density: 10.138 g/cm3
- Symmetry: No. 86

a = 5.7892 Å, b = 9.9180 Å, c = 9.9180 Å
α = 90.00°, β = 90.00°, γ = 90.00°
Closest atoms and distances in Å follow each position.
Positions (direct):
1 Tl 0.8974 0.3764 0.1310  5 Au 2.92-3.11
2 Tl 0.1026 0.8690 0.3764  5 Au 2.92-3.11
3 Au 0.0933 0.1788 0.3310  1 Au 2.80, 5 Tl 2.92-3.11
4 Tl 0.6026 0.1236 0.3690  5 Au 2.92-3.11
5 Tl 0.8974 0.6236 0.8690  5 Au 2.92-3.11
6 Tl 0.3974 0.6310 0.1236  5 Au 2.92-3.11
7 Au 0.9067 0.6690 0.1788  1 Au 2.80, 5 Tl 2.92-3.11
8 Au 0.5933 0.8310 0.3212  1 Au 2.80, 5 Tl 2.92-3.11
9 Tl 0.6026 0.8764 0.6310  5 Au 2.92-3.11
10 Cs 0.5000 0.5000 0.5000  4 Au 3.77, 4 Tl 4.00
11 Au 0.0933 0.8212 0.6690  1 Au 2.80, 5 Tl 2.92-3.11
12 Au 0.5933 0.1690 0.6788  1 Au 2.80, 5 Tl 2.92-3.11
13 Tl 0.3974 0.3690 0.8764  5 Au 2.92-3.11
14 Au 0.4067 0.6788 0.8310  1 Au 2.80, 5 Tl 2.92-3.11
15 Tl 0.1026 0.1310 0.6236  5 Au 2.92-3.11
16 Cs 0.0000 0.0000 0.0000  4 Au 3.77, 4 Tl 4.00
17 Au 0.4067 0.3212 0.1690  1 Au 2.80, 5 Tl 2.92-3.11
18 Au 0.9067 0.3310 0.8212  1 Au 2.80, 5 Tl 2.92-3.11

***

3.
A plane-wave DFT calculation with PBE was carried out for a relaxed CsTl8Au4 crystal.

Results
- Energy: -2.56 eV per atom
- ΔE_f: -0.03 eV per atom
- Calculated density: 11.598 g/cm3
- Symmetry: No. 139

a = 5.8665 Å, b = 8.4248 Å, c = 8.4248 Å
α = 83.04°, β = 69.62°, γ = 69.62°
Closest atoms and distances in Å follow each position.
Positions (direct):
1 Tl 0.7215 0.7785 0.7785  4 Au 3.17, 6 Tl 3.28-3.52
2 Tl 0.3526 0.6474 0.6474  5 Tl 3.28-3.52, 4 Au 3.36
3 Au 0.0000 0.0000 0.5000  2 Au 2.93, 4 Tl 3.17
4 Au 0.0000 0.5000 0.0000  2 Au 2.93, 4 Tl 3.17
5 Tl 0.6474 0.3526 0.3526  5 Tl 3.28-3.52, 4 Au 3.36
6 Tl 0.2785 0.2215 0.2215  4 Au 3.17, 6 Tl 3.28-3.52
7 Tl 0.5000 0.7785 0.2215  4 Au 3.17, 6 Tl 3.28-3.52
8 Tl 0.0000 0.3526 0.6474  5 Tl 3.28-3.52, 4 Au 3.36
9 Au 0.5000 0.5000 0.0000  2 Au 2.93, 4 Tl 3.17
10 Au 0.5000 0.0000 0.5000  2 Au 2.93, 4 Tl 3.17
11 Tl 0.5000 0.2215 0.7785  4 Au 3.17, 6 Tl 3.28-3.52
12 Tl 0.0000 0.6474 0.3526  5 Tl 3.28-3.52, 4 Au 3.36
13 Cs 0.0000 0.0000 0.0000  12 Tl 3.84-3.94, 8 Au 4.21

***

4.
A plane-wave DFT calculation with PBE was carried out for a relaxed Cs3TlAu4 crystal.

Results
- Energy: -2.49 eV per atom
- ΔE_f: -0.23 eV per atom
- Energy relative to the lowest polymorph listed for this composition: 0 meV per atom
- Calculated density: 7.603 g/cm3
- Symmetry: No. 44

a = 7.4305 Å, b = 7.4305 Å, c = 7.4305 Å
α = 105.24°, β = 101.83°, γ = 122.16°
Closest atoms and distances in Å follow each position.
Positions (direct):
1 Cs 0.9277 0.0000 0.9277  2 Au 3.44
2 Cs 0.5844 0.7387 0.3230  7 Au 3.58-3.76, 1 Cs 3.99
3 Au 0.2028 0.7480 0.9508  1 Tl 2.85, 2 Au 2.88
4 Au 0.2028 0.2520 0.4548  1 Tl 2.85, 2 Au 2.88
5 Au 0.5139 0.1965 0.3174  3 Au 2.82-2.88, 1 Tl 2.86
6 Au 0.1209 0.8035 0.3174  3 Au 2.82-2.88, 1 Tl 2.86
7 Cs 0.5844 0.2613 0.8457  7 Au 3.58-3.76, 1 Cs 3.99
8 Tl 0.0142 0.5000 0.5142  4 Au 2.85-2.86

***

5.
A plane-wave DFT calculation with PBE was carried out for a relaxed Cs5Tl2Au2 crystal.

Results
- Energy: -1.87 eV per atom
- ΔE_f: -0.14 eV per atom
- Calculated density: 5.062 g/cm3
- Symmetry: No. 46

a = 7.7106 Å, b = 12.0901 Å, c = 12.5722 Å
α = 118.76°, β = 107.84°, γ = 90.00°
Closest atoms and distances in Å follow each position.
Positions (direct):
1 Cs 0.2562 0.2327 0.8545  3 Au 3.77-4.20, 1 Tl 4.06, 2 Cs 4.08
2 Cs 0.9013 0.8782 0.1455  3 Au 3.77-4.20, 1 Tl 4.06, 2 Cs 4.08
3 Au 0.7046 0.8674 0.5001  7 Cs 3.72-3.92
4 Tl 0.5474 0.1238 0.1337  1 Au 2.93, 1 Tl 3.09
5 Cs 0.3474 0.4903 0.7197  2 Au 3.55-3.77
6 Cs 0.6280 0.5097 0.2803  2 Au 3.55-3.77
7 Au 0.6569 0.5002 0.0000  2 Tl 2.93-2.94
8 Cs 0.2082 0.8249 0.5000  3 Au 3.72-3.92, 2 Tl 4.11
9 Cs 0.8475 0.7291 0.7196  2 Au 3.55-3.77
10 Cs 0.7081 0.1751 0.5000  3 Au 3.72-3.92, 2 Tl 4.11
11 Au 0.2045 0.1326 0.4998  7 Cs 3.72-3.92
12 Tl 0.9140 0.4902 0.8664  1 Au 2.93, 1 Tl 3.08
13 Tl 0.4138 0.8761 0.8662  1 Au 2.93, 1 Tl 3.09
14 Cs 0.4013 0.7675 0.1456  3 Au 3.77-4.20, 1 Tl 4.06, 2 Cs 4.08
15 Cs 0.1280 0.2708 0.2804  2 Au 3.55-3.77
16 Cs 0.7563 0.1218 0.8546  3 Au 3.77-4.20, 1 Tl 4.06, 2 Cs 4.08
17 Au 0.1570 0.9999 0.0000  2 Tl 2.93
18 Tl 0.0474 0.5098 0.1336  1 Au 2.94, 1 Tl 3.08

***

6.
A plane-wave DFT calculation with PBE was carried out for a relaxed CsTl3Au2 crystal.

Results
- Energy: -2.50 eV per atom
- ΔE_f: -0.08 eV per atom
- Energy relative to the lowest polymorph listed for this composition: 59 meV per atom
- Calculated density: 10.013 g/cm3
- Symmetry: No. 63

a = 5.8772 Å, b = 8.1654 Å, c = 8.1654 Å
α = 105.23°, β = 90.00°, γ = 90.00°
Closest atoms and distances in Å follow each position.
Positions (direct):
1 Tl 0.2500 0.5554 0.9230  4 Au 2.96-3.06, 1 Tl 3.19
2 Au 0.0000 0.7608 0.2392  2 Au 2.94, 4 Tl 2.96-3.06
3 Tl 0.7500 0.4446 0.0770  4 Au 2.96-3.06, 1 Tl 3.19
4 Au 0.5000 0.7608 0.2392  2 Au 2.94, 4 Tl 2.96-3.06
5 Au 0.5000 0.2392 0.7608  2 Au 2.94, 4 Tl 2.96-3.06
6 Tl 0.7500 0.0770 0.4446  4 Au 2.96-3.06, 1 Tl 3.19
7 Tl 0.2500 0.9230 0.5554  4 Au 2.96-3.06, 1 Tl 3.19
8 Au 0.0000 0.2392 0.7608  2 Au 2.94, 4 Tl 2.96-3.06
9 Cs 0.7500 0.6483 0.6483  9 Tl 3.89-4.25, 4 Au 3.97, 2 Cs 4.16
10 Cs 0.2500 0.3517 0.3517  9 Tl 3.89-4.25, 4 Au 3.97, 2 Cs 4.16
11 Tl 0.2500 0.9535 0.9535  4 Tl 3.08-3.19
12 Tl 0.7500 0.0465 0.0465  4 Tl 3.08-3.19

***

7.
A plane-wave DFT calculation with PBE was carried out for a relaxed Cs2Tl6Au crystal.

Results
- Energy: -2.21 eV per atom
- ΔE_f: -0.08 eV per atom
- Calculated density: 8.602 g/cm3
- Symmetry: No. 12

a = 6.2511 Å, b = 7.6446 Å, c = 7.6446 Å
α = 63.77°, β = 85.13°, γ = 85.13°
Closest atoms and distances in Å follow each position.
Positions (direct):
1 Tl 0.6718 0.1031 0.6954  1 Au 3.03, 3 Tl 3.21-3.33
2 Cs 0.1913 0.3719 0.3719  12 Tl 3.85-4.16, 1 Cs 3.90
3 Cs 0.8087 0.6281 0.6281  12 Tl 3.85-4.16, 1 Cs 3.90
4 Tl 0.3282 0.8969 0.3046  1 Au 3.03, 3 Tl 3.21-3.33
5 Au 0.0000 0.0000 0.0000  6 Tl 2.93-3.03
6 Tl 0.7263 0.1968 0.1968  1 Au 2.93
7 Tl 0.2737 0.8032 0.8032  1 Au 2.93
8 Tl 0.3282 0.3046 0.8969  1 Au 3.03, 3 Tl 3.21-3.33
9 Tl 0.6718 0.6954 0.1031  1 Au 3.03, 3 Tl 3.21-3.33

***

8.
A plane-wave DFT calculation with PBE was carried out for a relaxed CsTl6Au6 crystal.

Results
- Energy: -2.70 eV per atom
- ΔE_f: -0.03 eV per atom
- Calculated density: 12.688 g/cm3
- Symmetry: No. 71

a = 5.9575 Å, b = 8.0467 Å, c = 8.0467 Å
α = 84.37°, β = 68.27°, γ = 68.27°
Closest atoms and distances in Å follow each position.
Positions (direct):
1 Au 0.0000 0.5000 0.0000  4 Au 2.98-2.99, 6 Tl 3.15-3.24
2 Au 0.5000 0.0000 0.5000  4 Au 2.98-2.99, 6 Tl 3.15-3.24
3 Tl 0.0000 0.6481 0.3519  6 Au 3.18-3.24, 1 Tl 3.20
4 Au 0.5000 0.5000 0.0000  4 Au 2.98-2.99, 6 Tl 3.15-3.24
5 Cs 0.0000 0.0000 0.0000  8 Tl 3.57-3.80, 4 Au 3.91
6 Tl 0.3468 0.6532 0.6532  3 Tl 3.16-3.39, 6 Au 3.24-3.28
7 Tl 0.0000 0.3519 0.6481  6 Au 3.18-3.24, 1 Tl 3.20
8 Tl 0.3096 0.1904 0.1904  6 Au 3.15-3.21, 2 Tl 3.39
9 Tl 0.6532 0.3468 0.3468  3 Tl 3.16-3.39, 6 Au 3.24-3.28
10 Au 0.5000 0.2342 0.7658  4 Au 2.99, 6 Tl 3.21-3.28
11 Au 0.5000 0.7658 0.2342  4 Au 2.99, 6 Tl 3.21-3.28
12 Tl 0.6904 0.8096 0.8096  6 Au 3.15-3.21, 2 Tl 3.39
13 Au 0.0000 0.0000 0.5000  4 Au 2.98-2.99, 6 Tl 3.15-3.24

***

9.
A plane-wave DFT calculation with PBE was carried out for a relaxed Cs3TlAu crystal.

Results
- Energy: -1.68 eV per atom
- ΔE_f: -0.04 eV per atom
- Energy relative to the lowest polymorph listed for this composition: 110 meV per atom
- Calculated density: 4.021 g/cm3
- Symmetry: No. 221

a = 6.9132 Å, b = 6.9132 Å, c = 6.9132 Å
α = 90.00°, β = 90.00°, γ = 90.00°
Closest atoms and distances in Å follow each position.
Positions (direct):
1 Cs 0.0000 0.5000 0.0000  2 Au 3.46
2 Au 0.0000 0.0000 0.0000  6 Cs 3.46
3 Cs 0.5000 0.0000 0.0000  2 Au 3.46
4 Tl 0.5000 0.5000 0.5000  12 Cs 4.89
5 Cs 0.0000 0.0000 0.5000  2 Au 3.46

***

10.
A plane-wave DFT calculation with PBE was carried out for a relaxed Cs3Tl4Au2 crystal.

Results
- Energy: -2.20 eV per atom
- ΔE_f: -0.13 eV per atom
- Energy relative to the lowest polymorph listed for this composition: 0 meV per atom
- Calculated density: 7.388 g/cm3
- Symmetry: No. 12

a = 5.3317 Å, b = 7.6728 Å, c = 10.7172 Å
α = 116.42°, β = 90.00°, γ = 110.33°
Closest atoms and distances in Å follow each position.
Positions (direct):
1 Tl 0.3061 0.6121 0.9567  3 Au 3.00-3.24, 1 Tl 3.16
2 Au 0.7038 0.4076 0.7701  5 Tl 2.99-3.24
3 Tl 0.6939 0.3879 0.0433  3 Au 3.00-3.24, 1 Tl 3.16
4 Tl 0.8880 0.7760 0.3522  2 Au 2.99, 2 Tl 3.16-3.28
5 Cs 0.0000 0.0000 0.0000  4 Tl 3.73, 2 Au 3.78
6 Cs 0.6001 0.2001 0.3627  2 Au 3.89-3.90, 6 Tl 4.00-4.23
7 Au 0.2962 0.5924 0.2299  5 Tl 2.99-3.24
8 Tl 0.1120 0.2240 0.6478  2 Au 2.99, 2 Tl 3.16-3.28
9 Cs 0.3999 0.7999 0.6373  2 Au 3.89-3.90, 6 Tl 4.00-4.23

***

11.
A plane-wave DFT calculation with PBE was carried out for a relaxed CsTlAu3 crystal.

Results
- Energy: -1.73 eV per atom
- ΔE_f: 0.88 eV per atom
- Energy relative to the lowest polymorph listed for this composition: 998 meV per atom
- Calculated density: 6.351 g/cm3
- Symmetry: No. 221

a = 6.2374 Å, b = 6.2374 Å, c = 6.2374 Å
α = 90.00°, β = 90.00°, γ = 90.00°
Closest atoms and distances in Å follow each position.
Positions (direct):
1 Au 0.5000 0.0000 0.0000  2 Cs 3.12
2 Tl 0.5000 0.5000 0.5000  12 Au 4.41
3 Au 0.0000 0.0000 0.5000  2 Cs 3.12
4 Au 0.0000 0.5000 0.0000  2 Cs 3.12
5 Cs 0.0000 0.0000 0.0000  6 Au 3.12

***

12.
A plane-wave DFT calculation with PBE was carried out for a relaxed Cs4TlAu3 crystal.

Results
- Energy: -2.20 eV per atom
- ΔE_f: -0.25 eV per atom
- Calculated density: 6.101 g/cm3
- Symmetry: No. 25

a = 5.1727 Å, b = 5.1551 Å, c = 13.5443 Å
α = 90.00°, β = 90.00°, γ = 90.00°
Closest atoms and distances in Å follow each position.
Positions (direct):
1 Tl 0.5000 0.5000 0.0491  2 Au 2.91
2 Cs 0.0000 0.5000 0.8369  5 Au 3.70-3.95, 2 Tl 3.87
3 Cs 0.5000 0.5000 0.3736  6 Au 3.65-3.77
4 Cs 0.5000 0.0000 0.6326  6 Au 3.65-3.77
5 Au 0.0000 0.5000 0.5634  2 Au 3.06
6 Au 0.5000 0.0000 0.9488  2 Tl 2.91
7 Cs 0.0000 0.0000 0.1537  3 Au 3.79-3.90, 4 Tl 3.92
8 Au 0.0000 0.0000 0.4420  2 Au 3.06